Entry 1:
Ba4Zr3S10 at its PBEsol-relaxed geometry, computed with meta-GGA SCAN.

Summary:
Space-group type: No. 139
Total DFT energy (no corrections), eV/atom: -22.523
ΔE_f (raw), eV per atom: -2.1361

abc: 18.023 18.023 18.023
angles: 164.15 164.15 22.49
Fractional coordinates of all 17 atoms:
Ba: 0.067 0.067 0.000
Ba: 0.199 0.199 0.000
Ba: 0.801 0.801 0.000
Ba: 0.933 0.933 0.000
Zr: 0.357 0.357 0.000
Zr: 0.500 0.500 0.000
Zr: 0.643 0.643 0.000
S: 0.000 0.500 0.500
S: 0.139 0.639 0.500
S: 0.287 0.287 0.000
S: 0.361 0.861 0.500
S: 0.429 0.429 0.000
S: 0.500 0.000 0.500
S: 0.571 0.571 0.000
S: 0.639 0.139 0.500
S: 0.713 0.713 0.000
S: 0.861 0.361 0.500



Entry 2:
Ba11Sb10 at its PBEsol-relaxed geometry, computed with meta-GGA SCAN.

Summary:
Space-group type: No. 71
Density of states at the Fermi level, states/eV per cell: 1.7
Total DFT energy (no corrections), eV/atom: -39.596
ΔE_f (raw), eV per atom: -1.1361

abc: 13.300 13.300 13.300
angles: 123.26 120.80 86.53
Fractional coordinates of all 42 atoms:
Ba: 0.062 0.314 0.748
Ba: 0.099 0.426 0.327
Ba: 0.099 0.772 0.673
Ba: 0.150 0.150 0.000
Ba: 0.213 0.890 0.323
Ba: 0.305 0.055 0.750
Ba: 0.305 0.554 0.250
Ba: 0.335 0.325 0.660
Ba: 0.335 0.675 0.011
Ba: 0.434 0.110 0.323
Ba: 0.434 0.686 0.748
Ba: 0.566 0.314 0.252
Ba: 0.566 0.890 0.677
Ba: 0.665 0.325 0.989
Ba: 0.665 0.675 0.340
Ba: 0.695 0.446 0.750
Ba: 0.695 0.945 0.250
Ba: 0.787 0.110 0.677
Ba: 0.850 0.850 0.000
Ba: 0.901 0.228 0.327
Ba: 0.901 0.574 0.673
Ba: 0.938 0.686 0.252
Sb: 0.027 0.030 0.425
Sb: 0.027 0.602 0.996
Sb: 0.130 0.110 0.241
Sb: 0.130 0.890 0.020
Sb: 0.151 0.500 0.651
Sb: 0.244 0.744 0.500
Sb: 0.387 0.387 0.000
Sb: 0.394 0.398 0.425
Sb: 0.394 0.970 0.996
Sb: 0.500 0.115 0.615
Sb: 0.500 0.885 0.385
Sb: 0.606 0.030 0.004
Sb: 0.606 0.602 0.575
Sb: 0.613 0.613 0.000
Sb: 0.756 0.256 0.500
Sb: 0.849 0.500 0.349
Sb: 0.870 0.110 0.980
Sb: 0.870 0.890 0.759
Sb: 0.973 0.398 0.004
Sb: 0.973 0.970 0.575



Entry 3:
BaSb at its PBEsol-relaxed geometry, computed with meta-GGA SCAN.

Summary:
Space-group type: No. 63
Density of states at the Fermi level, states/eV per cell: 2.9
Total DFT energy (no corrections), eV/atom: -39.323
ΔE_f (raw), eV per atom: -0.9173

abc: 6.866 6.866 6.153
angles: 90.00 90.00 150.01
Fractional coordinates of all 4 atoms:
Ba: 0.118 0.882 0.750
Ba: 0.882 0.118 0.250
Sb: 0.380 0.620 0.750
Sb: 0.620 0.380 0.250



Entry 4:
Ba2Sb at its PBEsol-relaxed geometry, computed with meta-GGA SCAN.

Summary:
Space-group type: No. 139
Density of states at the Fermi level, states/eV per cell: 2.9
Total DFT energy (no corrections), eV/atom: -39.759
ΔE_f (raw), eV per atom: -0.9716

abc: 10.081 10.081 10.081
angles: 150.38 150.38 42.39
Fractional coordinates of all 6 atoms:
Ba: 0.000 0.500 0.500
Ba: 0.181 0.181 0.000
Ba: 0.500 0.000 0.500
Ba: 0.819 0.819 0.000
Sb: 0.367 0.367 0.000
Sb: 0.633 0.633 0.000



Entry 5:
Ba2Sb3 at its PBEsol-relaxed geometry, computed with meta-GGA SCAN.

Summary:
Space-group type: No. 14
Total DFT energy (no corrections), eV/atom: -39.129
ΔE_f (raw), eV per atom: -0.9527

abc: 6.902 13.425 15.674
angles: 90.00 90.08 90.00
Fractional coordinates of all 40 atoms:
Ba: 0.023 0.229 0.239
Ba: 0.023 0.271 0.739
Ba: 0.245 0.622 0.007
Ba: 0.245 0.878 0.507
Ba: 0.253 0.127 0.994
Ba: 0.253 0.373 0.494
Ba: 0.474 0.522 0.247
Ba: 0.474 0.978 0.747
Ba: 0.526 0.022 0.253
Ba: 0.526 0.478 0.753
Ba: 0.747 0.627 0.506
Ba: 0.747 0.873 0.006
Ba: 0.755 0.122 0.493
Ba: 0.755 0.378 0.993
Ba: 0.977 0.729 0.261
Ba: 0.977 0.771 0.761
Sb: 0.001 0.019 0.669
Sb: 0.001 0.481 0.169
Sb: 0.098 0.547 0.654
Sb: 0.098 0.953 0.154
Sb: 0.248 0.119 0.419
Sb: 0.248 0.381 0.919
Sb: 0.254 0.632 0.432
Sb: 0.254 0.868 0.932
Sb: 0.411 0.708 0.661
Sb: 0.411 0.792 0.161
Sb: 0.496 0.231 0.660
Sb: 0.496 0.269 0.160
Sb: 0.504 0.731 0.840
Sb: 0.504 0.769 0.340
Sb: 0.589 0.208 0.839
Sb: 0.589 0.292 0.339
Sb: 0.746 0.132 0.068
Sb: 0.746 0.368 0.568
Sb: 0.752 0.619 0.081
Sb: 0.752 0.881 0.581
Sb: 0.902 0.047 0.846
Sb: 0.902 0.453 0.346
Sb: 0.999 0.519 0.831
Sb: 0.999 0.981 0.331



Entry 6:
Ba2Sb at its PBEsol-relaxed geometry, computed with meta-GGA SCAN.

Summary:
Space-group type: No. 225
Density of states at the Fermi level, states/eV per cell: 1.8
Total DFT energy (no corrections), eV/atom: -39.749
ΔE_f (raw), eV per atom: -0.9616

abc: 5.762 5.762 5.762
angles: 60.00 60.00 60.00
Fractional coordinates of all 3 atoms:
Ba: 0.250 0.250 0.250
Ba: 0.750 0.750 0.750
Sb: 0.000 0.000 0.000



Entry 7:
Ba5Sb3 at its PBEsol-relaxed geometry, computed with meta-GGA SCAN.

Summary:
Space-group type: No. 193
Density of states at the Fermi level, states/eV per cell: 2.1
Total DFT energy (no corrections), eV/atom: -39.823
ΔE_f (raw), eV per atom: -1.1311
Excess energy over the best structure of this formula in the dataset, meV/atom: 0

abc: 10.002 10.002 7.666
angles: 90.00 90.00 120.00
Fractional coordinates of all 16 atoms:
Ba: 0.000 0.258 0.250
Ba: 0.000 0.742 0.750
Ba: 0.258 0.000 0.250
Ba: 0.258 0.258 0.750
Ba: 0.333 0.667 0.000
Ba: 0.333 0.667 0.500
Ba: 0.667 0.333 0.000
Ba: 0.667 0.333 0.500
Ba: 0.742 0.000 0.750
Ba: 0.742 0.742 0.250
Sb: 0.000 0.390 0.750
Sb: 0.000 0.610 0.250
Sb: 0.390 0.000 0.750
Sb: 0.390 0.390 0.250
Sb: 0.610 0.000 0.250
Sb: 0.610 0.610 0.750



Entry 8:
Ba2Sb at its PBEsol-relaxed geometry, computed with meta-GGA SCAN.

Summary:
Space-group type: No. 62
Density of states at the Fermi level, states/eV per cell: 2.0
Total DFT energy (no corrections), eV/atom: -39.754
ΔE_f (raw), eV per atom: -0.9665

abc: 8.280 5.288 11.130
angles: 90.00 90.00 90.00
Fractional coordinates of all 12 atoms:
Ba: 0.056 0.250 0.181
Ba: 0.144 0.250 0.563
Ba: 0.356 0.750 0.063
Ba: 0.444 0.750 0.681
Ba: 0.556 0.250 0.319
Ba: 0.644 0.250 0.937
Ba: 0.856 0.750 0.437
Ba: 0.944 0.750 0.819
Sb: 0.222 0.250 0.873
Sb: 0.278 0.750 0.373
Sb: 0.722 0.250 0.627
Sb: 0.778 0.750 0.127



Entry 9:
Ba5Sb at its PBEsol-relaxed geometry, computed with meta-GGA SCAN.

Summary:
Space-group type: No. 12
Density of states at the Fermi level, states/eV per cell: 6.0
Total DFT energy (no corrections), eV/atom: -39.555
ΔE_f (raw), eV per atom: -0.3863

abc: 7.745 7.745 10.122
angles: 111.85 111.85 33.49
Fractional coordinates of all 6 atoms:
Ba: 0.000 0.000 0.000
Ba: 0.344 0.344 0.229
Ba: 0.372 0.372 0.626
Ba: 0.628 0.628 0.374
Ba: 0.656 0.656 0.771
Sb: 0.000 0.000 0.500



Entry 10:
BaSb at its PBEsol-relaxed geometry, computed with meta-GGA SCAN.

Summary:
Space-group type: No. 12
Density of states at the Fermi level, states/eV per cell: 0.4
Total DFT energy (no corrections), eV/atom: -39.466
ΔE_f (raw), eV per atom: -1.0608

abc: 6.683 6.683 5.222
angles: 99.04 99.04 42.12
Fractional coordinates of all 4 atoms:
Ba: 0.126 0.126 0.235
Ba: 0.874 0.874 0.765
Sb: 0.407 0.407 0.298
Sb: 0.593 0.593 0.702



Entry 11:
Ba2Sb at its PBEsol-relaxed geometry, computed with meta-GGA SCAN.

Summary:
Space-group type: No. 189
Density of states at the Fermi level, states/eV per cell: 3.9
Total DFT energy (no corrections), eV/atom: -39.721
ΔE_f (raw), eV per atom: -0.9335

abc: 9.173 9.173 5.056
angles: 90.00 90.00 120.00
Fractional coordinates of all 9 atoms:
Ba: 0.000 0.413 0.000
Ba: 0.000 0.736 0.500
Ba: 0.264 0.264 0.500
Ba: 0.413 0.000 0.000
Ba: 0.587 0.587 0.000
Ba: 0.736 0.000 0.500
Sb: 0.000 0.000 0.000
Sb: 0.333 0.667 0.500
Sb: 0.667 0.333 0.500



Entry 12:
Ba2Sb at its PBEsol-relaxed geometry, computed with meta-GGA SCAN.

Summary:
Space-group type: No. 164
Density of states at the Fermi level, states/eV per cell: 1.8
Total DFT energy (no corrections), eV/atom: -39.538
ΔE_f (raw), eV per atom: -0.7514

abc: 5.366 5.366 4.726
angles: 90.00 90.00 120.00
Fractional coordinates of all 3 atoms:
Ba: 0.333 0.667 0.198
Ba: 0.667 0.333 0.802
Sb: 0.000 0.000 0.500



Entry 13:
Ba2Sb at its PBEsol-relaxed geometry, computed with meta-GGA SCAN.

Summary:
Space-group type: No. 63
Density of states at the Fermi level, states/eV per cell: 3.4
Total DFT energy (no corrections), eV/atom: -39.713
ΔE_f (raw), eV per atom: -0.9257

abc: 7.258 7.258 7.456
angles: 90.00 90.00 139.56
Fractional coordinates of all 6 atoms:
Ba: 0.000 0.000 0.000
Ba: 0.000 0.000 0.500
Ba: 0.298 0.702 0.750
Ba: 0.702 0.298 0.250
Sb: 0.379 0.621 0.250
Sb: 0.621 0.379 0.750



Entry 14:
Ba8Sb at its PBEsol-relaxed geometry, computed with meta-GGA SCAN.

Summary:
Space-group type: No. 139
Density of states at the Fermi level, states/eV per cell: 9.6
Total DFT energy (no corrections), eV/atom: -39.515
ΔE_f (raw), eV per atom: -0.2192

abc: 10.137 10.137 10.137
angles: 93.17 93.17 152.78
Fractional coordinates of all 9 atoms:
Ba: 0.000 0.335 0.335
Ba: 0.000 0.665 0.665
Ba: 0.335 0.000 0.335
Ba: 0.360 0.360 0.720
Ba: 0.360 0.640 0.000
Ba: 0.640 0.360 0.000
Ba: 0.640 0.640 0.280
Ba: 0.665 0.000 0.665
Sb: 0.000 0.000 0.000



Entry 15:
BaSb at its PBEsol-relaxed geometry, computed with meta-GGA SCAN.

Summary:
Space-group type: No. 141
Density of states at the Fermi level, states/eV per cell: 2.8
Total DFT energy (no corrections), eV/atom: -39.247
ΔE_f (raw), eV per atom: -0.8411

abc: 6.796 6.796 6.796
angles: 137.63 137.63 61.47
Fractional coordinates of all 4 atoms:
Ba: 0.375 0.625 0.750
Ba: 0.625 0.375 0.250
Sb: 0.125 0.875 0.250
Sb: 0.875 0.125 0.750



Entry 16:
Ba5Sb3 at its PBEsol-relaxed geometry, computed with meta-GGA SCAN.

Summary:
Space-group type: No. 140
Density of states at the Fermi level, states/eV per cell: 7.0
Total DFT energy (no corrections), eV/atom: -39.732
ΔE_f (raw), eV per atom: -1.0406
Excess energy over the best structure of this formula in the dataset, meV/atom: 91

abc: 10.113 10.113 10.113
angles: 96.70 96.70 140.06
Fractional coordinates of all 16 atoms:
Ba: 0.086 0.787 0.872
Ba: 0.213 0.086 0.299
Ba: 0.250 0.750 0.500
Ba: 0.287 0.586 0.872
Ba: 0.414 0.287 0.701
Ba: 0.586 0.713 0.299
Ba: 0.713 0.414 0.128
Ba: 0.750 0.250 0.500
Ba: 0.787 0.914 0.701
Ba: 0.914 0.213 0.128
Sb: 0.158 0.342 0.500
Sb: 0.250 0.250 0.000
Sb: 0.342 0.842 0.183
Sb: 0.658 0.158 0.817
Sb: 0.750 0.750 0.000
Sb: 0.842 0.658 0.500



Entry 17:
BaSc2Sb at its PBEsol-relaxed geometry, computed with meta-GGA SCAN.

Summary:
Space-group type: No. 10
Density of states at the Fermi level, states/eV per cell: 3.7
Total DFT energy (no corrections), eV/atom: -26.503
ΔE_f (raw), eV per atom: -0.1819

abc: 3.589 5.005 6.508
angles: 90.00 101.33 90.00
Fractional coordinates of all 4 atoms:
Ba: 0.000 0.000 0.000
Sc: 0.330 0.500 0.700
Sc: 0.670 0.500 0.300
Sb: 0.500 0.000 0.500



Entry 18:
BaSc2Sb at its PBEsol-relaxed geometry, computed with meta-GGA SCAN.

Summary:
Space-group type: No. 123
Density of states at the Fermi level, states/eV per cell: 3.4
Total DFT energy (no corrections), eV/atom: -26.509
ΔE_f (raw), eV per atom: -0.1881

abc: 4.848 4.848 4.505
angles: 90.00 90.00 90.00
Fractional coordinates of all 4 atoms:
Ba: 0.000 0.000 0.000
Sc: 0.000 0.500 0.500
Sc: 0.500 0.000 0.500
Sb: 0.500 0.500 0.000



Entry 19:
BaSc2Sb at its PBEsol-relaxed geometry, computed with meta-GGA SCAN.

Summary:
Space-group type: No. 139
Density of states at the Fermi level, states/eV per cell: 5.7
Total DFT energy (no corrections), eV/atom: -26.419
ΔE_f (raw), eV per atom: -0.0980

abc: 5.717 5.717 5.717
angles: 130.51 130.51 72.60
Fractional coordinates of all 4 atoms:
Ba: 0.000 0.000 0.000
Sc: 0.250 0.750 0.500
Sc: 0.750 0.250 0.500
Sb: 0.500 0.500 0.000



Entry 20:
Ba3Sb2Se7 at its PBEsol-relaxed geometry, computed with meta-GGA SCAN.

Summary:
Space-group type: No. 15
Total DFT energy (no corrections), eV/atom: -29.123
ΔE_f (raw), eV per atom: -1.3133

abc: 11.262 11.262 13.438
angles: 106.19 106.19 68.05
Fractional coordinates of all 48 atoms:
Ba: 0.095 0.105 0.172
Ba: 0.105 0.095 0.672
Ba: 0.118 0.618 0.554
Ba: 0.382 0.882 0.946
Ba: 0.394 0.405 0.828
Ba: 0.405 0.394 0.328
Ba: 0.595 0.606 0.672
Ba: 0.606 0.595 0.172
Ba: 0.618 0.118 0.054
Ba: 0.882 0.382 0.446
Ba: 0.895 0.905 0.328
Ba: 0.905 0.895 0.828
Sb: 0.162 0.661 0.099
Sb: 0.218 0.281 0.000
Sb: 0.281 0.218 0.500
Sb: 0.339 0.838 0.401
Sb: 0.661 0.162 0.599
Sb: 0.719 0.782 0.500
Sb: 0.782 0.719 0.000
Sb: 0.838 0.339 0.901
Se: 0.064 0.109 0.913
Se: 0.097 0.598 0.885
Se: 0.109 0.064 0.413
Se: 0.142 0.356 0.641
Se: 0.144 0.358 0.359
Se: 0.195 0.694 0.361
Se: 0.201 0.701 0.817
Se: 0.299 0.799 0.683
Se: 0.306 0.805 0.139
Se: 0.356 0.142 0.141
Se: 0.358 0.144 0.859
Se: 0.391 0.436 0.087
Se: 0.402 0.903 0.615
Se: 0.436 0.391 0.587
Se: 0.564 0.609 0.413
Se: 0.598 0.097 0.385
Se: 0.609 0.564 0.913
Se: 0.642 0.856 0.141
Se: 0.644 0.858 0.859
Se: 0.694 0.195 0.861
Se: 0.701 0.201 0.317
Se: 0.799 0.299 0.183
Se: 0.805 0.306 0.639
Se: 0.856 0.642 0.641
Se: 0.858 0.644 0.359
Se: 0.891 0.936 0.587
Se: 0.903 0.402 0.115
Se: 0.936 0.891 0.087



no.,size of the total moment (Bohr magnetons per cell)
1,0.00
2,0.00
3,0.00
4,0.00
5,0.00
6,0.07
7,2.01
8,3.93
9,0.13
10,0.00
11,2.90
12,0.00
13,0.01
14,0.05
15,0.00
16,2.73
17,0.00
18,2.07
19,0.00
20,0.00